Li2TlBr: PBEsol geometry, SCAN.

relative energy among the computed polymorphs = 88 meV per atom
DOS at the Fermi energy = 1.55 states/eV/cell
symmetry = No. 71
raw formation energy = -0.667 eV/atom

Cell: 3.421 6.255 8.859 Å, 90.00 90.00 90.00°
Atoms (fractional coordinates):
Li 0.000 0.000 0.211
Li 0.000 0.000 0.789
Li 0.500 0.500 0.289
Li 0.500 0.500 0.711
Tl 0.000 0.500 0.000
Tl 0.500 0.000 0.500
Br 0.000 0.500 0.500
Br 0.500 0.000 0.000